A geometry-optimized Hf31TeO64 structure. Source: OQMD, functional PBE.

Properties
Its energy above the most stable polymorph in this dataset is 28 meV/atom. For the raw total energy, the calculation gives -958.96 eV/f.u. For the volume, the calculation gives 1060.1 Å³/cell. As for the space group: P1 (1).

Cell and atoms, written as POSCAR:
```
Hf31TeO64
1.0
10.0395 0.0000 0.0000
-0.0104 10.0855 0.0000
-0.0116 -0.0001 10.4693
Hf Te O
31 1 64
Direct
0.0000 0.0000 0.0000
0.0003 0.9996 0.4996
0.0012 0.2498 0.2162
0.0013 0.4986 0.9985
0.0006 0.5000 0.4987
0.0008 0.7483 0.2156
0.0017 0.7491 0.7154
0.2283 0.0016 0.7520
0.2297 0.7502 0.4637
0.2323 0.4975 0.7475
0.2317 0.7505 0.9688
0.2337 0.0001 0.2495
0.2340 0.2500 0.4662
0.2345 0.2507 0.9662
0.2345 0.4991 0.2493
0.5012 0.2497 0.2152
0.5008 0.7490 0.2156
0.5014 0.9992 0.9998
0.5016 0.2486 0.7162
0.5031 0.0012 0.4946
0.5029 0.4984 0.9992
0.5058 0.4974 0.4982
0.7329 0.5009 0.7493
0.7337 0.2488 0.9650
0.7338 0.4991 0.2484
0.7340 0.7471 0.4651
0.7340 0.7489 0.9672
0.7338 0.9983 0.7495
0.7344 0.9988 0.2486
0.7346 0.2490 0.4661
0.9994 0.2507 0.7161
0.4885 0.7558 0.7118
0.0952 0.8754 0.8510
0.0964 0.6241 0.3637
0.0967 0.1253 0.8663
0.0970 0.6241 0.8655
0.0968 0.8745 0.3499
0.0977 0.1247 0.3662
0.0982 0.3741 0.8490
0.0976 0.3747 0.3497
0.1363 0.1259 0.6166
0.1370 0.8754 0.1005
0.1382 0.1254 0.1160
0.1381 0.3751 0.0994
0.1378 0.3750 0.5995
0.1383 0.6249 0.1153
0.1389 0.6242 0.6136
0.1388 0.8757 0.6004
0.3205 0.6872 0.7952
0.3303 0.6809 0.2979
0.3309 0.1807 0.7986
0.3311 0.9312 0.9157
0.3322 0.4323 0.9152
0.3321 0.9300 0.4164
0.3329 0.1798 0.2994
0.3329 0.4301 0.4163
0.4008 0.9298 0.6659
0.4020 0.1783 0.5494
0.4019 0.9304 0.1659
0.4033 0.1815 0.0485
0.4035 0.4299 0.1668
0.4034 0.6808 0.0459
0.4039 0.4328 0.6662
0.4036 0.6819 0.5448
0.5949 0.6246 0.3623
0.5963 0.1247 0.8647
0.5971 0.3727 0.8495
0.5972 0.8747 0.3486
0.5977 0.1251 0.3646
0.5978 0.3741 0.3497
0.5981 0.8775 0.8552
0.6089 0.6166 0.8749
0.6371 0.1231 0.6152
0.6375 0.1245 0.1152
0.6365 0.3701 0.6002
0.6372 0.6249 0.1181
0.6378 0.8744 0.1011
0.6382 0.8764 0.5963
0.6391 0.3743 0.0996
0.6519 0.6152 0.6022
0.8317 0.1785 0.7983
0.8324 0.1799 0.2986
0.8320 0.4295 0.4161
0.8321 0.6791 0.2985
0.8321 0.9314 0.4157
0.8324 0.9308 0.9165
0.8331 0.6814 0.7977
0.8351 0.4259 0.9147
0.9027 0.1795 0.0494
0.9030 0.1804 0.5489
0.9035 0.4300 0.1663
0.9033 0.6784 0.0490
0.9027 0.9287 0.1662
0.9033 0.9305 0.6665
0.9035 0.4312 0.6658
0.9081 0.6840 0.5460
```